(1)
TlNiTe2Cl: relaxed, PBE-GGA.

Total magnetization ... 1.58 μB/cell
ΔE_f (raw) ... 0.817 eV per atom
Density of states at the Fermi level ... 8.980 states/eV/f.u.

a b c (Å): 5.7859 5.2077 5.7859
angles (deg): 90.00 90.00 90.00
Element x y z (fractional)
Ni1 0.5000 0.5000 0.5000
Tl1 0.0000 0.0000 0.0000
Te1 0.0000 0.0000 0.5000
Te2 0.5000 0.0000 0.0000
Cl1 0.0000 0.5000 0.0000

=====

(2)
PmGd2Zr: relaxed, PBE-GGA.

Formation energy ... 199.1 meV/atom
Total magnetization ... 16.99 μB/cell
Relative energy among the computed polymorphs ... 120 meV per atom
Density of states at the Fermi level ... 5.547 states/eV/f.u.

a b c (Å): 5.5568 5.5568 5.5568
angles (deg): 60.00 60.00 60.00
Element x y z (fractional)
Gd1 0.2500 0.2500 0.2500
Gd2 0.7500 0.7500 0.7500
Zr1 0.0000 0.0000 0.0000
Pm1 0.5000 0.5000 0.5000

=====

(3)
Sr2LiGa: relaxed, PBE-GGA.

Formation energy ... -173.7 meV/atom
Total magnetization ... 0.00 μB/cell
Density of states at the Fermi level ... 3.783 states/eV/f.u.

a b c (Å): 4.7388 4.7373 8.0301
angles (deg): 72.81 72.80 60.02
Element x y z (fractional)
Sr1 0.8896 0.6528 0.5674
Sr2 0.7156 0.4791 0.0903
Li1 0.1360 0.8983 0.8300
Ga1 0.4691 0.2318 0.8297

=====

(4)
TbAl3Au10: relaxed, PBE-GGA.

Formation energy ... -293.2 meV/atom
Total magnetization ... 0.00 μB/cell
Density of states at the Fermi level ... 4.653 states/eV/f.u.

a b c (Å): 9.1777 9.1775 9.1776
angles (deg): 60.00 60.00 60.00
Element x y z (fractional)
Tb1 0.2500 0.2500 0.2500
Tb2 0.7500 0.7500 0.7500
Al1 0.7345 0.7345 0.2655
Al2 0.7345 0.2655 0.7345
Al3 0.2655 0.7345 0.7345
Al4 0.2655 0.2655 0.7345
Al5 0.7345 0.2655 0.2655
Al6 0.2655 0.7345 0.2655
Au1 0.0000 0.0000 0.3432
Au2 0.0000 0.3432 0.0000
Au3 0.3432 0.0000 0.0000
Au4 0.6567 0.3433 0.0000
Au5 0.3818 0.3818 0.3818
Au6 0.1455 0.6182 0.6182
Au7 0.3818 0.8545 0.3818
Au8 0.6567 0.0000 0.3432
Au9 0.3818 0.3818 0.8545
Au10 0.8545 0.3818 0.3818
Au11 0.6182 0.6182 0.1455
Au12 0.0000 0.0000 0.6568
Au13 0.3433 0.6567 0.0000
Au14 0.0000 0.6568 0.3432
Au15 0.0000 0.3432 0.6568
Au16 0.6567 0.0000 0.0000
Au17 0.6182 0.6182 0.6182
Au18 0.0000 0.6568 0.0000
Au19 0.6182 0.1455 0.6182
Au20 0.3432 0.0000 0.6567